This record from the Open Quantum Materials Database describes a relaxed PdS2Br4Cl2 crystal. The functional is PBE-GGA.

Cell: 4.647 7.024 8.680 Å, 103.74 97.98 93.29°
Fractional coordinates of all 9 atoms:
Br 0.745 0.819 0.555
Cl 0.271 0.149 0.845
Pd 0.000 0.000 0.000
Br 0.061 0.503 0.209
S 0.290 0.231 0.206
Br 0.255 0.181 0.445
Cl 0.729 0.851 0.155
Br 0.939 0.497 0.791
S 0.710 0.769 0.794

Output
VASP energy = -2.81 eV/atom
distance to the lowest polymorph of the same formula = 0.113 eV per formula unit
symmetry = No. 2

=====

This record from the Open Quantum Materials Database describes a relaxed Lu2N3 crystal. The functional is PBE-GGA.

Cell: 9.150 9.150 9.150 Å, 109.47 109.47 109.47°
Fractional coordinates of all 40 atoms:
N 0.768 0.729 0.240
Lu 0.280 0.250 0.530
Lu 0.530 0.280 0.250
N 0.972 0.961 0.732
N 0.039 0.268 0.028
N 0.989 0.528 0.260
Lu 0.250 0.030 0.780
N 0.271 0.760 0.232
N 0.240 0.768 0.729
N 0.771 0.539 0.511
N 0.232 0.271 0.760
Lu 0.970 0.220 0.750
N 0.729 0.240 0.768
Lu 0.500 0.500 0.000
N 0.472 0.740 0.011
Lu 0.030 0.780 0.250
N 0.489 0.229 0.461
N 0.461 0.489 0.229
N 0.268 0.028 0.039
Lu 0.720 0.750 0.470
N 0.229 0.461 0.489
N 0.528 0.260 0.989
N 0.011 0.472 0.740
Lu 0.250 0.530 0.280
N 0.260 0.989 0.528
N 0.740 0.011 0.472
N 0.732 0.972 0.961
N 0.961 0.732 0.972
Lu 0.220 0.750 0.970
Lu 0.000 0.500 0.500
Lu 0.000 0.000 0.000
Lu 0.470 0.720 0.750
Lu 0.500 0.000 0.500
Lu 0.750 0.470 0.720
N 0.511 0.771 0.539
N 0.028 0.039 0.268
Lu 0.780 0.250 0.030
N 0.539 0.511 0.771
N 0.760 0.232 0.271
Lu 0.750 0.970 0.220

Output
VASP energy = -7.38 eV/atom
symmetry = No. 206